No. 1
Here is an optimized crystal structure of As2OsRu from the Alexandria database. Energies are from PBEsol.

a = 7.9030 Å, b = 7.9030 Å, c = 7.9030 Å
α = 21.43°, β = 21.43°, γ = 21.43°
Last column: nearest neighbours and their distance in Å.
Positions (direct):
As 0.2492 0.2492 0.2492  3 Ru 2.56, 3 Os 2.58
As 0.7508 0.7508 0.7508  3 Ru 2.56, 3 Os 2.58
Os 0.0000 0.0000 0.0000  6 As 2.58
Ru 0.5000 0.5000 0.5000  6 As 2.56

Summary:
Total magnetic moment ... 0.0 μB per formula unit
Offset from the most stable computed form ... 0.014 eV/atom
E_form ... 0.125 eV per atom

No. 2
Here is an optimized crystal structure of AsOs2Ru from the Alexandria database. Energies are from PBEsol.

a = 2.7921 Å, b = 3.7456 Å, c = 5.4623 Å
α = 90.00°, β = 90.00°, γ = 90.00°
Last column: nearest neighbours and their distance in Å.
Positions (direct):
As 0.0000 0.0000 0.0000  4 Ru 2.57, 2 Os 2.67-2.79, 2 As 2.79
Os 0.0000 0.0000 0.5108  6 Os 2.59-2.79, 2 As 2.67-2.79, 4 Ru 2.83
Os 0.5000 0.5000 0.3078  6 Os 2.59-2.79, 2 Ru 2.71-2.75, 4 As 2.88
Ru 0.5000 0.5000 0.8042  4 As 2.57, 6 Os 2.71-2.83, 2 Ru 2.79

Summary:
Total magnetic moment ... 0.0 μB per formula unit
E_form ... 0.358 eV per atom

No. 3
Here is an optimized crystal structure of As3OsS from the Alexandria database. Energies are from PBEsol.

a = 4.4954 Å, b = 4.4954 Å, c = 4.4954 Å
α = 90.00°, β = 90.00°, γ = 90.00°
Last column: nearest neighbours and their distance in Å.
Positions (direct):
As 0.0000 0.0000 0.5000  2 S 2.25
As 0.0000 0.5000 0.0000  2 S 2.25
As 0.5000 0.0000 0.0000  2 S 2.25
Os 0.5000 0.5000 0.5000  12 As 3.18
S 0.0000 0.0000 0.0000  6 As 2.25

Summary:
Total magnetic moment ... 0.0 μB per formula unit
Energy relative to the elements, uncorrected ... 1355 meV per atom

No. 4
Here is an optimized crystal structure of AsOsS3 from the Alexandria database. Energies are from PBEsol.

a = 4.5425 Å, b = 4.5425 Å, c = 4.5425 Å
α = 90.00°, β = 90.00°, γ = 90.00°
Last column: nearest neighbours and their distance in Å.
Positions (direct):
As 0.0000 0.0000 0.0000  12 S 3.21
Os 0.5000 0.5000 0.5000  6 S 2.27
S 0.0000 0.5000 0.5000  2 Os 2.27
S 0.5000 0.0000 0.5000  2 Os 2.27
S 0.5000 0.5000 0.0000  2 Os 2.27

Summary:
Total magnetic moment ... 0.0 μB per formula unit
Energy relative to the elements, uncorrected ... 623 meV per atom